# 1
Compound: NaLiCl2
Source: Alexandria via LeMat-Bulk
Functional: PBE
Structure: optimized geometry

abc: 4.810 4.810 4.810
angles: 60.00 60.00 60.00
Element x y z (fractional)
1 Na 0.500 0.500 0.500
2 Li 0.000 0.000 0.000
3 Cl 0.750 0.750 0.750
4 Cl 0.250 0.250 0.250

**E**: -0.121 Ha/atom
**Fermi-level density of states**: 0.0 states/eV/cell
**Size of the total moment**: 0.000 μB/atom
**Symmetry**: Fm-3m, No. 225

# 2
Compound: La6Pr5Sm2
Source: Alexandria via LeMat-Bulk
Functional: PBE
Structure: optimized geometry

abc: 3.710 12.025 21.384
angles: 90.00 90.00 90.00
Element x y z (fractional)
1 Sm 0.000 0.169 0.787
2 Sm 0.000 0.831 0.213
3 Sm 0.000 0.331 0.287
4 Sm 0.000 0.669 0.713
5 La 0.000 0.420 0.867
6 La 0.500 0.177 0.636
7 La 0.000 0.080 0.367
8 La 0.500 0.323 0.136
9 La 0.000 0.437 0.579
10 La 0.500 0.677 0.864
11 La 0.000 0.063 0.079
12 La 0.000 0.580 0.133
13 La 0.000 0.937 0.921
14 La 0.500 0.823 0.364
15 La 0.000 0.563 0.421
16 La 0.000 0.920 0.633
17 Pr 0.500 0.697 0.556
18 Pr 0.500 0.588 0.275
19 Pr 0.500 0.088 0.225
20 Pr 0.500 0.197 0.944
21 Pr 0.500 0.412 0.725
22 Pr 0.500 0.912 0.775
23 Pr 0.500 0.500 0.000
24 Pr 0.500 0.303 0.444
25 Pr 0.500 0.000 0.500
26 Pr 0.500 0.803 0.056

**E**: -0.175 Ha/atom
**Fermi-level density of states**: 36.6 states/eV/cell
**Size of the total moment**: 0.000 μB/atom
**Symmetry**: Pbam, No. 55

# 3
Compound: Li3PrCu8
Source: Alexandria via LeMat-Bulk
Functional: PBE
Structure: optimized geometry

abc: 5.039 5.039 8.690
angles: 73.14 73.14 60.00
Element x y z (fractional)
1 Cu 0.441 0.944 0.173
2 Cu 0.944 0.441 0.173
3 Cu 0.441 0.441 0.173
4 Cu 0.689 0.689 0.933
5 Cu 0.432 0.937 0.693
6 Cu 0.187 0.187 0.440
7 Cu 0.937 0.432 0.693
8 Cu 0.937 0.937 0.693
9 Li 0.007 0.007 0.979
10 Li 0.485 0.485 0.545
11 Li 0.373 0.373 0.881
12 Pr 0.876 0.876 0.373

**E**: -0.136 Ha/atom
**Fermi-level density of states**: 5.5 states/eV/cell
**Size of the total moment**: 0.000 μB/atom
**Symmetry**: R3m, No. 160

# 4
Compound: CaY3Fe
Source: Alexandria via LeMat-Bulk
Functional: PBE
Structure: optimized geometry

abc: 5.333 5.333 5.333
angles: 90.00 90.00 90.00
Element x y z (fractional)
1 Y 0.000 0.000 0.500
2 Y 0.500 0.000 0.000
3 Y 0.000 0.500 0.000
4 Fe 0.000 0.000 0.000
5 Ca 0.500 0.500 0.500

**E**: -0.218 Ha/atom
**Fermi-level density of states**: 2.8 states/eV/cell
**Size of the total moment**: 0.000 μB/atom
**Symmetry**: Pm-3m, No. 221

# 5
Compound: K2NaLiSe
Source: Alexandria via LeMat-Bulk
Functional: PBE
Structure: optimized geometry

abc: 6.570 6.570 4.869
angles: 90.00 90.00 90.00
Element x y z (fractional)
1 K 0.000 0.500 0.000
2 K 0.500 0.000 0.000
3 Na 0.500 0.500 0.500
4 Li 0.000 0.000 0.500
5 Se 0.000 0.000 0.000

**E**: -0.087 Ha/atom
**Fermi-level density of states**: 1.0 states/eV/cell
**Size of the total moment**: 0.000 μB/atom
**Symmetry**: P4/mmm, No. 123

# 6
Compound: HfNiBRh2
Source: Alexandria via LeMat-Bulk
Functional: PBE
Structure: optimized geometry

abc: 4.127 4.127 3.961
angles: 90.00 90.00 90.00
Element x y z (fractional)
1 B 0.000 0.000 0.000
2 Rh 0.000 0.500 0.000
3 Rh 0.500 0.000 0.000
4 Hf 0.500 0.500 0.500
5 Ni 0.000 0.000 0.500

**E**: -0.295 Ha/atom
**Fermi-level density of states**: 3.0 states/eV/cell
**Size of the total moment**: 0.000 μB/atom
**Symmetry**: P4/mmm, No. 123

# 7
Compound: HfBeAlPb2
Source: Alexandria via LeMat-Bulk
Functional: PBE
Structure: optimized geometry

abc: 5.521 5.591 5.521
angles: 90.00 90.00 90.00
Element x y z (fractional)
1 Pb 0.000 0.000 0.500
2 Pb 0.500 0.000 0.000
3 Hf 0.000 0.500 0.000
4 Be 0.500 0.500 0.500
5 Al 0.000 0.000 0.000

**E**: -0.136 Ha/atom
**Fermi-level density of states**: 4.4 states/eV/cell
**Size of the total moment**: 0.000 μB/atom
**Symmetry**: P4/mmm, No. 123

# 8
Compound: TcGe2Ir
Source: Alexandria via LeMat-Bulk
Functional: PBE
Structure: optimized geometry

abc: 4.341 4.341 4.341
angles: 60.00 60.00 60.00
Element x y z (fractional)
1 Tc 0.000 0.000 0.000
2 Ir 0.500 0.500 0.500
3 Ge 0.750 0.750 0.750
4 Ge 0.250 0.250 0.250

**E**: -0.267 Ha/atom
**Fermi-level density of states**: 0.9 states/eV/cell
**Size of the total moment**: 0.000 μB/atom
**Symmetry**: Fm-3m, No. 225

# 9
Compound: Be2VZn
Source: Alexandria via LeMat-Bulk
Functional: PBE
Structure: optimized geometry

abc: 3.314 3.639 3.639
angles: 90.00 90.00 90.00
Element x y z (fractional)
1 Be 0.000 0.000 0.500
2 Be 0.000 0.500 0.000
3 Zn 0.500 0.500 0.500
4 V 0.500 0.000 0.000

**E**: -0.165 Ha/atom
**Fermi-level density of states**: 2.3 states/eV/cell
**Size of the total moment**: 0.000 μB/atom
**Symmetry**: P4/mmm, No. 123

# 10
Compound: InCu2As
Source: Alexandria via LeMat-Bulk
Functional: PBE
Structure: optimized geometry

abc: 6.573 4.684 2.982
angles: 90.76 63.43 121.71
Element x y z (fractional)
1 Cu 0.500 0.000 0.500
2 Cu 0.000 0.000 0.000
3 In 0.000 0.500 0.500
4 As 0.500 0.500 0.000

**E**: -0.136 Ha/atom
**Fermi-level density of states**: 1.1 states/eV/cell
**Size of the total moment**: 0.000 μB/atom
**Symmetry**: P-1, No. 2

# 11
Compound: LaScIn2
Source: Alexandria via LeMat-Bulk
Functional: PBE
Structure: optimized geometry

abc: 4.869 4.869 4.551
angles: 90.00 90.00 90.00
Element x y z (fractional)
1 In 0.500 0.500 0.000
2 In 0.000 0.000 0.000
3 Sc 0.000 0.500 0.500
4 La 0.500 0.000 0.500

**E**: -0.168 Ha/atom
**Fermi-level density of states**: 3.5 states/eV/cell
**Size of the total moment**: 0.104 μB/atom
**Symmetry**: P4/mmm, No. 123

# 12
Compound: LaHfCo2Pd
Source: Alexandria via LeMat-Bulk
Functional: PBE
Structure: optimized geometry

abc: 4.634 5.005 4.634
angles: 90.00 90.00 90.00
Element x y z (fractional)
1 La 0.500 0.500 0.500
2 Co 0.500 0.000 0.000
3 Co 0.000 0.000 0.500
4 Pd 0.000 0.500 0.000
5 Hf 0.000 0.000 0.000

**E**: -0.241 Ha/atom
**Fermi-level density of states**: 4.3 states/eV/cell
**Size of the total moment**: 0.153 μB/atom
**Symmetry**: P4/mmm, No. 123

# 13
Compound: Dy8Ag2Hg
Source: Alexandria via LeMat-Bulk
Functional: PBE
Structure: optimized geometry

abc: 5.185 7.032 9.299
angles: 106.58 106.19 90.00
Element x y z (fractional)
1 Dy 0.670 0.976 0.340
2 Dy 0.197 0.317 0.395
3 Dy 0.593 0.464 0.186
4 Dy 0.330 0.024 0.660
5 Dy 0.971 0.230 0.943
6 Dy 0.803 0.683 0.605
7 Dy 0.407 0.536 0.814
8 Dy 0.029 0.770 0.057
9 Ag 0.817 0.284 0.633
10 Ag 0.183 0.716 0.367
11 Hg 0.500 0.000 0.000

**E**: -0.149 Ha/atom
**Fermi-level density of states**: 10.3 states/eV/cell
**Size of the total moment**: 0.000 μB/atom
**Symmetry**: C2/m, No. 12

# 14
Compound: Pr7TmTl3
Source: Alexandria via LeMat-Bulk
Functional: PBE
Structure: optimized geometry

abc: 6.023 8.488 8.488
angles: 92.28 110.61 110.61
Element x y z (fractional)
1 Pr 0.679 0.962 0.393
2 Pr 0.679 0.393 0.962
3 Pr 0.834 0.833 0.833
4 Pr 0.000 0.500 0.500
5 Pr 0.166 0.167 0.167
6 Pr 0.321 0.038 0.607
7 Pr 0.321 0.607 0.038
8 Tm 0.500 0.500 0.500
9 Tl 0.500 0.000 0.000
10 Tl 0.000 0.238 0.762
11 Tl 0.000 0.762 0.238

**E**: -0.151 Ha/atom
**Fermi-level density of states**: 16.6 states/eV/cell
**Size of the total moment**: 0.000 μB/atom
**Symmetry**: C2/m, No. 12

# 15
Compound: Ba2AlTe
Source: Alexandria via LeMat-Bulk
Functional: PBE
Structure: optimized geometry

abc: 6.790 6.790 5.610
angles: 80.14 80.14 38.28
Element x y z (fractional)
1 Te 0.464 0.464 0.683
2 Al 0.283 0.283 0.070
3 Ba 0.007 0.007 0.150
4 Ba 0.747 0.747 0.598

**E**: -0.125 Ha/atom
**Fermi-level density of states**: 2.6 states/eV/cell
**Size of the total moment**: 0.000 μB/atom
**Symmetry**: Cm, No. 8

# 16
Compound: SrSb2OsBr
Source: Alexandria via LeMat-Bulk
Functional: PBE
Structure: optimized geometry

abc: 5.690 4.635 5.690
angles: 90.00 90.00 90.00
Element x y z (fractional)
1 Br 0.000 0.000 0.000
2 Sr 0.500 0.500 0.500
3 Sb 0.500 0.000 0.000
4 Sb 0.000 0.000 0.500
5 Os 0.000 0.500 0.000

**E**: -0.133 Ha/atom
**Fermi-level density of states**: 5.8 states/eV/cell
**Size of the total moment**: 0.239 μB/atom
**Symmetry**: P4/mmm, No. 123

# 17
Compound: Li15La6Hg8
Source: Alexandria via LeMat-Bulk
Functional: PBE
Structure: optimized geometry

abc: 9.771 9.771 9.771
angles: 60.00 60.00 60.00
Element x y z (fractional)
1 Li 0.500 0.000 0.500
2 Li 0.000 0.500 0.000
3 Li 0.028 0.324 0.324
4 Li 0.000 0.000 0.000
5 Li 0.000 0.500 0.500
6 Li 0.676 0.676 0.676
7 Li 0.324 0.324 0.324
8 Li 0.324 0.324 0.028
9 Li 0.676 0.972 0.676
10 Li 0.324 0.028 0.324
11 Li 0.500 0.500 0.000
12 Li 0.972 0.676 0.676
13 Li 0.500 0.000 0.000
14 Li 0.000 0.000 0.500
15 Li 0.676 0.676 0.972
16 Hg 0.873 0.382 0.873
17 Hg 0.127 0.127 0.618
18 Hg 0.873 0.873 0.873
19 Hg 0.382 0.873 0.873
20 Hg 0.618 0.127 0.127
21 Hg 0.127 0.127 0.127
22 Hg 0.873 0.873 0.382
23 Hg 0.127 0.618 0.127
24 La 0.287 0.713 0.713
25 La 0.287 0.287 0.713
26 La 0.713 0.287 0.287
27 La 0.713 0.713 0.287
28 La 0.713 0.287 0.713
29 La 0.287 0.713 0.287

**E**: -0.086 Ha/atom
**Fermi-level density of states**: 24.8 states/eV/cell
**Size of the total moment**: 0.000 μB/atom
**Symmetry**: Fm-3m, No. 225

# 18
Compound: NbV2H2
Source: Alexandria via LeMat-Bulk
Functional: PBE
Structure: optimized geometry

abc: 3.928 3.928 4.623
angles: 115.14 115.14 90.00
Element x y z (fractional)
1 V 0.750 0.250 0.500
2 V 0.250 0.750 0.500
3 Nb 0.000 0.000 0.000
4 H 0.272 0.272 0.544
5 H 0.728 0.728 0.456

**E**: -0.246 Ha/atom
**Fermi-level density of states**: 5.5 states/eV/cell
**Size of the total moment**: 0.000 μB/atom
**Symmetry**: I4/mmm, No. 139

# 19
Compound: CaRe4Mo
Source: Alexandria via LeMat-Bulk
Functional: PBE
Structure: optimized geometry

abc: 5.270 5.270 5.270
angles: 60.00 60.00 60.00
Element x y z (fractional)
1 Re 0.375 0.375 0.875
2 Re 0.375 0.875 0.375
3 Re 0.875 0.375 0.375
4 Re 0.375 0.375 0.375
5 Mo 0.000 0.000 0.000
6 Ca 0.750 0.750 0.750

**E**: -0.372 Ha/atom
**Fermi-level density of states**: 8.0 states/eV/cell
**Size of the total moment**: 0.000 μB/atom
**Symmetry**: F-43m, No. 216

# 20
Compound: AgW2Br
Source: Alexandria via LeMat-Bulk
Functional: PBE
Structure: optimized geometry

abc: 2.973 2.973 9.374
angles: 90.00 90.00 113.71
Element x y z (fractional)
1 Br 0.500 0.500 0.773
2 Ag 0.000 0.000 0.480
3 W 0.000 0.000 0.020
4 W 0.500 0.500 0.227

**E**: -0.258 Ha/atom
**Fermi-level density of states**: 2.1 states/eV/cell
**Size of the total moment**: 0.000 μB/atom
**Symmetry**: Cmm2, No. 35